Record 1
A geometry-optimized SrLiTm structure. Source: OQMD via LeMat-Bulk, functional PBE.

* volume: 440.6 Å³/cell
* distance to the lowest polymorph of the same formula: 0.000 eV per atom
* ρ: 3.97 g cm⁻³

```
12
Lattice="7.6093 0.0000 0.0000 0.0000 7.6093 0.0000 0.0000 0.0000 7.6093" Properties=species:S:1:pos:R:3 pbc="T T T"
Sr 0.0000 0.0000 0.0000
Sr 0.0000 3.8046 3.8046
Sr 3.8046 0.0000 3.8046
Sr 3.8046 3.8046 0.0000
Li 1.9023 1.9023 1.9023
Li 1.9023 5.7070 5.7070
Li 5.7070 1.9023 5.7070
Li 5.7070 5.7070 1.9023
Tm 0.0000 0.0000 3.8046
Tm 0.0000 3.8046 0.0000
Tm 3.8046 0.0000 0.0000
Tm 3.8046 3.8046 3.8046
```

Record 2
A geometry-optimized Hg2Te2Pd3 structure. Source: OQMD via LeMat-Bulk, functional PBE.

* electronic total energy: -23.7 eV per cell
* volume: 154.5 Å³/cell
* ρ: 10.48 g cm⁻³

```
7
Lattice="2.9104 1.6803 5.2663 -2.9104 1.6803 5.2663 0.0000 -3.3606 5.2663" Properties=species:S:1:pos:R:3 pbc="T T T"
Hg 0.0000 0.0000 0.0000
Hg 0.0000 0.0000 7.8994
Te 0.0000 0.0000 3.2605
Te 0.0000 0.0000 12.5384
Pd -1.4552 -0.8401 5.2663
Pd -1.4552 0.8401 10.5326
Pd 0.0000 1.6803 5.2663
```

Q: Among the records above, which one has the lowest volume?
A: Hg2Te2Pd3

Q: What is the formula in the first record?
A: SrLiTm

What did the first record say?
A geometry-optimized SrLiTm structure. Source: OQMD via LeMat-Bulk, functional PBE.

* volume: 440.6 Å³/cell
* distance to the lowest polymorph of the same formula: 0.000 eV per atom
* ρ: 3.97 g cm⁻³

```
12
Lattice="7.6093 0.0000 0.0000 0.0000 7.6093 0.0000 0.0000 0.0000 7.6093" Properties=species:S:1:pos:R:3 pbc="T T T"
Sr 0.0000 0.0000 0.0000
Sr 0.0000 3.8046 3.8046
Sr 3.8046 0.0000 3.8046
Sr 3.8046 3.8046 0.0000
Li 1.9023 1.9023 1.9023
Li 1.9023 5.7070 5.7070
Li 5.7070 1.9023 5.7070
Li 5.7070 5.7070 1.9023
Tm 0.0000 0.0000 3.8046
Tm 0.0000 3.8046 0.0000
Tm 3.8046 0.0000 0.0000
Tm 3.8046 3.8046 3.8046
```

Q: The highest volume belongs to which entry?
A: SrLiTm